# Ac2AlH (PBE, optimized geometry)
# Energy relative to the lowest polymorph listed for this composition: 294 meV/atom
# Density of states at the Fermi level: 1.013 states/eV/atom
data_Ac2AlH
_chemical_formula_sum 'Ac2 Al1 H1'
_symmetry_space_group_name_H-M 'P 1'
_symmetry_Int_Tables_number 1
_symmetry_space_group_name_Hall 'P 1'
_cell_length_a 10.1240
_cell_length_b 10.1240
_cell_length_c 10.1240
_cell_angle_alpha 21.37
_cell_angle_beta 21.37
_cell_angle_gamma 21.37
loop_
_atom_site_label
_atom_site_type_symbol
_atom_site_fract_x
_atom_site_fract_y
_atom_site_fract_z
Ac1 Ac 0.1111 0.1111 0.1111
Ac2 Ac 0.8889 0.8889 0.8889
Al1 Al 0.0000 0.0000 0.0000
H1 H 0.5000 0.5000 0.5000

---

# Ca2NdTl2Ag2 (PBE, optimized geometry)
# Uncorrected energy: -20.9 eV for the cell shown
# Density of states at the Fermi level: 0.582 states/eV/atom
data_Ca2NdTl2Ag2
_chemical_formula_sum 'Ca2 Nd1 Tl2 Ag2'
_symmetry_space_group_name_H-M 'P 1'
_symmetry_Int_Tables_number 1
_symmetry_space_group_name_Hall 'P 1'
_cell_length_a 9.7297
_cell_length_b 9.7297
_cell_length_c 9.7297
_cell_angle_alpha 29.63
_cell_angle_beta 29.63
_cell_angle_gamma 29.63
loop_
_atom_site_label
_atom_site_type_symbol
_atom_site_fract_x
_atom_site_fract_y
_atom_site_fract_z
Ca1 Ca 0.1238 0.1238 0.1238
Ca2 Ca 0.8762 0.8762 0.8762
Nd1 Nd 0.0000 0.0000 0.0000
Tl1 Tl 0.2653 0.2653 0.2653
Tl2 Tl 0.7347 0.7347 0.7347
Ag1 Ag 0.3941 0.3941 0.3941
Ag2 Ag 0.6059 0.6059 0.6059

---

# NiGeRh (PBE, optimized geometry)
# Uncorrected energy: -18.6 eV for the cell shown
# Density of states at the Fermi level: 0.704 states/eV/atom
data_NiGeRh
_chemical_formula_sum 'Ni1 Ge1 Rh1'
_symmetry_space_group_name_H-M 'P 1'
_symmetry_Int_Tables_number 1
_symmetry_space_group_name_Hall 'P 1'
_cell_length_a 4.0318
_cell_length_b 4.0318
_cell_length_c 2.8404
_cell_angle_alpha 90.00
_cell_angle_beta 90.00
_cell_angle_gamma 120.00
loop_
_atom_site_label
_atom_site_type_symbol
_atom_site_fract_x
_atom_site_fract_y
_atom_site_fract_z
Ni1 Ni 0.0000 0.0000 0.0000
Ge1 Ge 0.3333 0.6667 0.9263
Rh1 Rh 0.6667 0.3333 0.4879

---

# Ca2SF2 (PBE, optimized geometry)
# Energy relative to the elements, uncorrected: -3107 meV per atom
# Density of states at the Fermi level: 0.000 states/eV/atom
data_Ca2SF2
_chemical_formula_sum 'Ca2 S1 F2'
_symmetry_space_group_name_H-M 'P 1'
_symmetry_Int_Tables_number 1
_symmetry_space_group_name_Hall 'P 1'
_cell_length_a 3.7314
_cell_length_b 3.7314
_cell_length_c 6.5895
_cell_angle_alpha 105.71
_cell_angle_beta 105.71
_cell_angle_gamma 89.91
loop_
_atom_site_label
_atom_site_type_symbol
_atom_site_fract_x
_atom_site_fract_y
_atom_site_fract_z
Ca1 Ca 0.1432 0.1432 0.2739
Ca2 Ca 0.8568 0.8568 0.7261
S1 S 0.5000 0.5000 0.0000
F1 F 0.2496 0.7504 0.5000
F2 F 0.7504 0.2496 0.5000

---

# TiBSeN2 (PBE, optimized geometry)
# Energy relative to the lowest polymorph listed for this composition: 190 meV/atom
# Energy relative to the elements, uncorrected: 1037 meV per atom
# Density of states at the Fermi level: 0.836 states/eV/atom
data_TiBSeN2
_chemical_formula_sum 'Ti1 B1 Se1 N2'
_symmetry_space_group_name_H-M 'P 1'
_symmetry_Int_Tables_number 1
_symmetry_space_group_name_Hall 'P 1'
_cell_length_a 3.7549
_cell_length_b 3.7549
_cell_length_c 5.5781
_cell_angle_alpha 90.00
_cell_angle_beta 90.00
_cell_angle_gamma 90.00
loop_
_atom_site_label
_atom_site_type_symbol
_atom_site_fract_x
_atom_site_fract_y
_atom_site_fract_z
Ti1 Ti 0.0000 0.0000 0.0000
B1 B 0.5000 0.5000 0.5000
Se1 Se 0.0000 0.0000 0.5000
N1 N 0.0000 0.5000 0.0000
N2 N 0.5000 0.0000 0.0000

---

# AcDyZnNi (PBE, optimized geometry)
# Uncorrected energy: -16.5 eV for the cell shown
# Density of states at the Fermi level: 0.848 states/eV/atom
data_AcDyZnNi
_chemical_formula_sum 'Ac1 Dy1 Zn1 Ni1'
_symmetry_space_group_name_H-M 'P 1'
_symmetry_Int_Tables_number 1
_symmetry_space_group_name_Hall 'P 1'
_cell_length_a 5.1618
_cell_length_b 5.1618
_cell_length_c 5.1618
_cell_angle_alpha 60.00
_cell_angle_beta 60.00
_cell_angle_gamma 60.00
loop_
_atom_site_label
_atom_site_type_symbol
_atom_site_fract_x
_atom_site_fract_y
_atom_site_fract_z
Ac1 Ac 0.0000 0.0000 0.0000
Dy1 Dy 0.5000 0.5000 0.5000
Zn1 Zn 0.7500 0.7500 0.7500
Ni1 Ni 0.2500 0.2500 0.2500

---

# Er3ZrCo2 (PBE, optimized geometry)
# Uncorrected energy: -73.3 eV for the cell shown
# Density of states at the Fermi level: 1.137 states/eV/atom
data_Er3ZrCo2
_chemical_formula_sum 'Er6 Zr2 Co4'
_symmetry_space_group_name_H-M 'P 1'
_symmetry_Int_Tables_number 1
_symmetry_space_group_name_Hall 'P 1'
_cell_length_a 7.9425
_cell_length_b 7.9425
_cell_length_c 7.9425
_cell_angle_alpha 132.27
_cell_angle_beta 71.70
_cell_angle_gamma 129.90
loop_
_atom_site_label
_atom_site_type_symbol
_atom_site_fract_x
_atom_site_fract_y
_atom_site_fract_z
Er1 Er 0.0186 0.7500 0.2686
Er2 Er 0.2500 0.2500 0.0000
Er3 Er 0.4814 0.7500 0.7314
Er4 Er 0.5186 0.2500 0.2686
Er5 Er 0.7500 0.7500 0.0000
Er6 Er 0.9814 0.2500 0.7314
Zr1 Zr 0.0000 0.5000 0.5000
Zr2 Zr 0.5000 0.0000 0.5000
Co1 Co 0.1330 0.2264 0.3594
Co2 Co 0.3670 0.7264 0.0934
Co3 Co 0.6330 0.2736 0.9066
Co4 Co 0.8670 0.7736 0.6406

---

# TlSiAu (PBE, optimized geometry)
# Energy relative to the elements, uncorrected: 49 meV per atom
# Density of states at the Fermi level: 0.411 states/eV/atom
data_TlSiAu
_chemical_formula_sum 'Tl2 Si2 Au2'
_symmetry_space_group_name_H-M 'P 1'
_symmetry_Int_Tables_number 1
_symmetry_space_group_name_Hall 'P 1'
_cell_length_a 4.3857
_cell_length_b 3.8929
_cell_length_c 8.5301
_cell_angle_alpha 90.00
_cell_angle_beta 104.88
_cell_angle_gamma 90.00
loop_
_atom_site_label
_atom_site_type_symbol
_atom_site_fract_x
_atom_site_fract_y
_atom_site_fract_z
Tl1 Tl 0.1918 0.2500 0.3810
Tl2 Tl 0.8082 0.7500 0.6190
Si1 Si 0.0411 0.7500 0.0824
Si2 Si 0.9589 0.2500 0.9176
Au1 Au 0.3900 0.2500 0.7805
Au2 Au 0.6100 0.7500 0.2195

---

# Pm2PHPt6 (PBE, optimized geometry)
# Uncorrected energy: -125.5 eV for the cell shown
# Density of states at the Fermi level: 0.392 states/eV/atom
data_Pm2PHPt6
_chemical_formula_sum 'Pm4 P2 H2 Pt12'
_symmetry_space_group_name_H-M 'P 1'
_symmetry_Int_Tables_number 1
_symmetry_space_group_name_Hall 'P 1'
_cell_length_a 5.8020
_cell_length_b 8.4418
_cell_length_c 6.9767
_cell_angle_alpha 90.00
_cell_angle_beta 90.00
_cell_angle_gamma 90.00
loop_
_atom_site_label
_atom_site_type_symbol
_atom_site_fract_x
_atom_site_fract_y
_atom_site_fract_z
Pm1 Pm 0.2500 0.0296 0.2234
Pm2 Pm 0.2500 0.4704 0.2234
Pm3 Pm 0.7500 0.5296 0.7766
Pm4 Pm 0.7500 0.9704 0.7766
P1 P 0.2500 0.7500 0.8285
P2 P 0.7500 0.2500 0.1715
H1 H 0.2500 0.2500 0.6395
H2 H 0.7500 0.7500 0.3605
Pt1 Pt 0.0125 0.7500 0.4878
Pt2 Pt 0.0133 0.2500 0.9213
Pt3 Pt 0.2500 0.5021 0.6829
Pt4 Pt 0.2500 0.9979 0.6829
Pt5 Pt 0.4867 0.2500 0.9213
Pt6 Pt 0.4875 0.7500 0.4878
Pt7 Pt 0.5125 0.2500 0.5122
Pt8 Pt 0.5133 0.7500 0.0787
Pt9 Pt 0.7500 0.0021 0.3171
Pt10 Pt 0.7500 0.4979 0.3171
Pt11 Pt 0.9867 0.7500 0.0787
Pt12 Pt 0.9875 0.2500 0.5122

---

Size of the total moment, record by record: 0.0000; 0.0000; 0.0000; 0.0000; 0.0000; 0.0000; 0.0001; 0.0000; 0.0000 μB per atom